Record 1
A relaxed BaZn4 crystal. Source: Alexandria, functional GGA-PBE.

Properties
* total magnetic moment: 0.00 μB per cell
* density: 5.83 g cm⁻³
* energy above the most stable polymorph in this dataset: 0.00 eV/f.u.
* total DFT energy (no corrections): -1.582 eV per atom
* ΔH_f (0 K): -178.0 meV per atom

Structure (POSCAR):
```
BaZn4
1.0
-2.268 2.268 5.519
2.268 -2.268 5.519
2.268 2.268 -5.519
Ba Zn
1 4
Direct
0.000 0.000 0.000 Ba
0.250 0.750 0.500 Zn
0.372 0.372 0.000 Zn
0.628 0.628 0.000 Zn
0.750 0.250 0.500 Zn
```

Record 2
A relaxed Ba4Zn3 crystal. Source: Alexandria, functional GGA-PBE.

Properties
* total magnetic moment: 0.00 μB per cell
* density: 4.39 g cm⁻³
* energy above the most stable polymorph in this dataset: 0.12 eV/f.u.
* total DFT energy (no corrections): -1.733 eV per atom
* ΔH_f (0 K): -87.9 meV per atom

Structure (POSCAR):
```
Ba4Zn3
1.0
-2.086 2.086 16.186
2.086 -2.086 16.186
2.086 2.086 -16.186
Ba Zn
4 3
Direct
0.060 0.060 0.000 Ba
0.327 0.327 0.000 Ba
0.673 0.673 0.000 Ba
0.940 0.940 0.000 Ba
0.226 0.226 0.000 Zn
0.500 0.500 0.000 Zn
0.774 0.774 0.000 Zn
```

Record 3
A relaxed Ba2Zn crystal. Source: Alexandria, functional GGA-PBE.

Properties
* total magnetic moment: 0.00 μB per cell
* density: 4.27 g cm⁻³
* total DFT energy (no corrections): -1.773 eV per atom
* ΔH_f (0 K): -66.4 meV per atom

Structure (POSCAR):
```
Ba2Zn
1.0
2.103 -10.364 0.000
2.103 10.364 0.000
0.000 0.000 6.063
Ba Zn
4 2
Direct
0.069 0.931 0.750 Ba
0.202 0.798 0.250 Ba
0.798 0.202 0.750 Ba
0.931 0.069 0.250 Ba
0.430 0.570 0.750 Zn
0.570 0.430 0.250 Zn
```

Record 4
A relaxed BaZn3 crystal. Source: Alexandria, functional GGA-PBE.

Properties
* total magnetic moment: 0.00 μB per cell
* density: 4.83 g cm⁻³
* total DFT energy (no corrections): -1.363 eV per atom
* ΔH_f (0 K): 73.6 meV per atom

Structure (POSCAR):
```
BaZn3
1.0
4.267 0.000 0.000
-2.134 3.696 0.000
0.000 0.000 7.264
Ba Zn
1 3
Direct
0.000 0.000 0.000 Ba
0.000 0.000 0.500 Zn
0.667 0.333 0.326 Zn
0.667 0.333 0.674 Zn
```